The following is a DFT calculation (PBE+U) of an optimized crystal structure of Nb2CoP6O21.

a b c (Å): 6.6450 8.1010 15.7136
angles (deg): 90.00 90.29 90.00
Last column: magnetic moment on the atom in μB.
Positions (direct):
O  0.1470  0.7072  0.3514  0.00
O  0.5816  0.7576  0.1906  0.00
O  0.9184  0.2576  0.3094  0.00
O  0.9283  0.9486  0.3303  0.00
O  0.8530  0.2928  0.6486  0.00
O  0.8006  0.6079  0.5718  0.00
Nb  0.9655  0.5199  0.6667  0.00
P  0.2156  0.8922  0.6666  0.00
O  0.6470  0.7928  0.8514  0.00
O  0.1994  0.3921  0.4282  0.00
O  0.6826  0.0239  0.0820  0.00
O  0.8612  0.5746  0.2420  0.00
Nb  0.5345  0.0199  0.8333  0.00
O  0.7654  0.5115  0.9082  0.02
O  0.8155  0.6292  0.0831  0.02
O  0.8747  0.2818  0.0439  0.02
O  0.2654  0.9885  0.4082  0.02
O  0.0816  0.7424  0.6906  0.00
O  0.3747  0.2182  0.5439  0.02
P  0.7844  0.1078  0.3334  0.00
Co  0.5000  0.0000  0.5000  2.78
O  0.3530  0.2072  0.1486  0.00
P  0.2844  0.3922  0.8334  0.00
P  0.8122  0.1151  0.0151  0.00
O  0.7490  0.5706  0.7491  0.00
O  0.2490  0.9294  0.2491  0.00
P  0.6607  0.6029  0.8395  0.00
O  0.6845  0.1292  0.4169  0.02
O  0.0000  0.0000  0.0000  0.00
P  0.6878  0.6151  0.4849  0.00
O  0.6994  0.1079  0.9282  0.00
Nb  0.0345  0.4801  0.3333  0.00
O  0.1845  0.3708  0.9169  0.02
O  0.8174  0.5239  0.4180  0.00
O  0.1388  0.4254  0.7580  0.00
O  0.3174  0.9761  0.9180  0.00
O  0.7510  0.0706  0.7509  0.00
O  0.2510  0.4294  0.2509  0.00
O  0.4283  0.5514  0.8303  0.00
Co  0.0000  0.5000  0.0000  2.78
Nb  0.4655  0.9801  0.1667  0.00
O  0.3155  0.8708  0.5831  0.02
P  0.8393  0.1029  0.6605  0.00
P  0.1878  0.8849  0.9849  0.00
O  0.2346  0.4885  0.0918  0.02
O  0.1253  0.7182  0.9561  0.02
P  0.3122  0.3849  0.5151  0.00
O  0.6388  0.0746  0.2580  0.00
O  0.5717  0.4486  0.1697  0.00
O  0.3006  0.8921  0.0718  0.00
O  0.5000  0.5000  0.5000  0.00
P  0.7156  0.6078  0.1666  0.00
P  0.3393  0.3971  0.1605  0.00
O  0.1826  0.4761  0.5820  0.00
O  0.7346  0.0115  0.5918  0.02
O  0.0717  0.0514  0.6697  0.00
P  0.1607  0.8971  0.3395  0.00
O  0.6253  0.7818  0.4561  0.02
O  0.3612  0.9254  0.7420  0.00
O  0.4184  0.2424  0.8094  0.00

## Properties
electronic total energy: -455.92 eV/cell
total moment: 6.00 Bohr magnetons per cell
ρ: 3.010 g cm⁻³